No. 1
A plane-wave DFT calculation with PBE was carried out for a relaxed structure of NbZnNi.

The value obtained for the spin magnetization is 0.54 μB/cell. The raw total energy is -67.36 eV per cell.

The space group is F-43m (No. 216) and the conventional cell measures 5.7559, 5.7559 and 5.7559 Å, with angles of 90.00, 90.00 and 90.00 degrees. The asymmetric unit holds Nb at (0.0000, 0.0000, 0.0000), Zn at (0.0000, 0.0000, 0.5000) and Ni at (0.2500, 0.2500, 0.2500).


No. 2
A plane-wave DFT calculation with PBE was carried out for a relaxed structure of MgZnNiAs.

The calculation puts the offset from the most stable computed form at 56 meV/atom. The value obtained for the spin magnetization is 0.01 μB/cell. The raw total energy is -52.19 eV per cell.

The space group is F-43m (No. 216) and the conventional cell measures 6.3090, 6.3090 and 6.3090 Å, with angles of 90.00, 90.00 and 90.00 degrees. The asymmetric unit holds Mg at (0.0000, 0.0000, 0.0000), Zn at (0.0000, 0.0000, 0.5000), Ni at (0.2500, 0.2500, 0.7500) and As at (0.2500, 0.2500, 0.2500).


No. 3
A plane-wave DFT calculation with PBE was carried out for a relaxed structure of CsLaIr.

The calculation puts the offset from the most stable computed form at 0 meV/atom. The value obtained for the spin magnetization is 0.03 μB/cell. The raw total energy is -54.97 eV per cell.

The space group is F-43m (No. 216) and the conventional cell measures 7.2996, 7.2996 and 7.2996 Å, with angles of 90.00, 90.00 and 90.00 degrees. The asymmetric unit holds Cs at (0.0000, 0.0000, 0.0000), La at (0.0000, 0.0000, 0.5000) and Ir at (0.2500, 0.2500, 0.2500).


No. 4
A plane-wave DFT calculation with PBE was carried out for a relaxed structure of Sm3Mg3TlPd2.

The value obtained for the spin magnetization is 0.01 μB/cell. The raw total energy is -35.99 eV per cell.

The space group is P-62m (No. 189) and the conventional cell measures 7.5765, 7.5765 and 4.3189 Å, with angles of 90.00, 90.00 and 120.00 degrees. The asymmetric unit holds Sm at (0.0000, 0.4225, 0.0000), Mg at (0.0000, 0.7425, 0.5000), Tl at (0.0000, 0.0000, 0.0000) and Pd at (0.3333, 0.6667, 0.5000).


No. 5
A plane-wave DFT calculation with PBE was carried out for a relaxed structure of SmScNb.

The calculation puts the offset from the most stable computed form at 0 meV/atom. The value obtained for the spin magnetization is 6.89 μB/cell. The raw total energy is -74.45 eV per cell.

The space group is F-43m (No. 216) and the conventional cell measures 6.9619, 6.9619 and 6.9619 Å, with angles of 90.00, 90.00 and 90.00 degrees. The asymmetric unit holds Sm at (0.0000, 0.0000, 0.0000), Sc at (0.0000, 0.0000, 0.5000) and Nb at (0.2500, 0.2500, 0.7500).


No. 6
A plane-wave DFT calculation with PBE was carried out for a relaxed structure of Y2ZnCoNi.

The value obtained for the spin magnetization is 0.01 μB/cell. The raw total energy is -57.49 eV per cell.

The space group is Imm2 (No. 44) and the conventional cell measures 4.1104, 8.1767 and 5.4787 Å, with angles of 90.00, 90.00 and 90.00 degrees. The asymmetric unit holds Y at (0.0000, 0.2042, 0.0000), Zn at (0.0000, 0.0000, 0.4914), Co at (0.0000, 0.5000, 0.7198) and Ni at (0.0000, 0.5000, 0.2714).


No. 7
A plane-wave DFT calculation with PBE was carried out for a relaxed structure of Nb2Al3W4N3.

The value obtained for the spin magnetization is 0.01 μB/cell. The raw total energy is -444.47 eV per cell.

The space group is C2/c (No. 15) and the conventional cell measures 8.8744, 5.1499 and 14.1792 Å, with angles of 90.00, 101.92 and 90.00 degrees. The asymmetric unit holds Nb at (0.0434, 0.0813, 0.3823), Al at (0.0000, 0.4373, 0.7500), Al at (0.2395, 0.1562, 0.7492), W at (0.1126, 0.4246, 0.5873), W at (0.2173, 0.4136, 0.9126), N at (0.0728, 0.2187, 0.0000) and N at (0.2500, 0.2500, 0.5000).


No. 8
A plane-wave DFT calculation with PBE was carried out for a relaxed structure of ZrCoPd2.

The value obtained for the spin magnetization is 1.91 μB/cell. The raw total energy is -109.19 eV per cell.

The space group is F-43m (No. 216) and the conventional cell measures 6.2997, 6.2997 and 6.2997 Å, with angles of 90.00, 90.00 and 90.00 degrees. The asymmetric unit holds Zr at (0.0000, 0.0000, 0.0000), Co at (0.2500, 0.2500, 0.2500), Pd at (0.0000, 0.0000, 0.5000) and Pd at (0.2500, 0.2500, 0.7500).


No. 9
A plane-wave DFT calculation with PBE was carried out for a relaxed structure of PaCdBi.

The value obtained for the spin magnetization is 7.06 μB/cell. The raw total energy is -53.74 eV per cell.

The space group is F-43m (No. 216) and the conventional cell measures 7.3447, 7.3447 and 7.3447 Å, with angles of 90.00, 90.00 and 90.00 degrees. The asymmetric unit holds Pa at (0.0000, 0.0000, 0.0000), Cd at (0.2500, 0.2500, 0.2500) and Bi at (0.2500, 0.2500, 0.7500).


No. 10
A plane-wave DFT calculation with PBE was carried out for a relaxed structure of LiSnAu2.

The raw total energy is -54.82 eV per cell.

The space group is F-43m (No. 216) and the conventional cell measures 6.6807, 6.6807 and 6.6807 Å, with angles of 90.00, 90.00 and 90.00 degrees. The asymmetric unit holds Li at (0.0000, 0.0000, 0.0000), Sn at (0.2500, 0.2500, 0.7500), Au at (0.0000, 0.0000, 0.5000) and Au at (0.2500, 0.2500, 0.2500).


No. 11
A plane-wave DFT calculation with PBE was carried out for a relaxed structure of KNiAuS3.

The value obtained for the spin magnetization is 0.11 μB/cell. The raw total energy is -95.37 eV per cell.

The space group is Cmcm (No. 63) and the conventional cell measures 3.4214, 15.6150 and 9.8371 Å, with angles of 90.00, 90.00 and 90.00 degrees. The asymmetric unit holds K at (0.0000, 0.2139, 0.2500), Ni at (0.0000, 0.5000, 0.0000), Au at (0.0000, 0.1057, 0.7500), S at (0.0000, 0.0967, 0.5149) and S at (0.0000, 0.4569, 0.7500).


No. 12
A plane-wave DFT calculation with PBE was carried out for a relaxed structure of ZrHI3.

The value obtained for the spin magnetization is 0.00 μB/cell. The raw total energy is -81.50 eV per cell.

The space group is Ima2 (No. 46) and the conventional cell measures 14.2400, 9.8128 and 6.4586 Å, with angles of 90.00, 90.00 and 90.00 degrees. The asymmetric unit holds Zr at (0.2500, 0.1785, 0.0000), H at (0.2500, 0.1675, 0.6984), I at (0.1093, 0.1362, 0.3302) and I at (0.2500, 0.5956, 0.4112).


What is the formula in the second record?
MgZnNiAs